# 1
# Ce4AsP2N (PBE, optimized geometry)
# ρ = 6.14 g/cm3
# Magnetization = 11.07 Bohr magnetons per cell
# DOS(E_F) = 18.42 states/eV/f.u.
# Calculated total energy = -233.3 eV/cell
# Uncorrected formation energy = -1351 meV/atom
data_Ce4AsP2N
_symmetry_space_group_name_H-M 'C m c m'
_symmetry_Int_Tables_number 63
_symmetry_space_group_name_Hall '-C 2c 2'
_cell_length_a 4.050
_cell_length_b 13.353
_cell_length_c 14.228
_cell_angle_alpha 90.00
_cell_angle_beta 90.00
_cell_angle_gamma 90.00
loop_
_atom_site_label
_atom_site_fract_x
_atom_site_fract_y
_atom_site_fract_z
_atom_site_occupancy
Ce1 0.000 0.000 0.000 1
Ce2 0.000 0.270 0.126 1
Ce3 0.000 0.429 0.750 1
As1 0.000 0.104 0.750 1
P1 0.000 0.363 0.557 1
N1 0.000 0.166 0.250 1

---

# 2
# Ce3Pa2As2N4 (PBE, optimized geometry)
# ρ = 7.70 g/cm3
# Magnetization = 5.62 Bohr magnetons per cell
# DOS(E_F) = 14.07 states/eV/f.u.
# Calculated total energy = -189.4 eV/cell
# Uncorrected formation energy = -1390 meV/atom
data_Ce3Pa2As2N4
_symmetry_space_group_name_H-M 'I 4/m m m'
_symmetry_Int_Tables_number 139
_symmetry_space_group_name_Hall '-I 4 2'
_cell_length_a 4.150
_cell_length_b 4.150
_cell_length_c 27.254
_cell_angle_alpha 90.00
_cell_angle_beta 90.00
_cell_angle_gamma 90.00
loop_
_atom_site_label
_atom_site_fract_x
_atom_site_fract_y
_atom_site_fract_z
_atom_site_occupancy
Ce1 0.000 0.000 0.000 1
Ce2 0.000 0.000 0.200 1
Pa1 0.000 0.000 0.418 1
As1 0.000 0.000 0.308 1
N1 0.000 0.500 0.055 1

---

# 3
# Ce2PaAs2N2 (PBE, optimized geometry)
# ρ = 7.80 g/cm3
# Magnetization = 2.07 Bohr magnetons per cell
# DOS(E_F) = 9.40 states/eV/f.u.
# Calculated total energy = -115.1 eV/cell
# Uncorrected formation energy = -1463 meV/atom
data_Ce2PaAs2N2
_symmetry_space_group_name_H-M 'C 1 2/m 1'
_symmetry_Int_Tables_number 12
_cell_length_a 12.194
_cell_length_b 3.989
_cell_length_c 7.082
_cell_angle_alpha 90.00
_cell_angle_beta 121.54
_cell_angle_gamma 90.00
loop_
_symmetry_equiv_pos_as_xyz
'x,y,z'
'-x,-y,-z'
'-x,y,-z'
'x,-y,z'
'x+1/2,y+1/2,z'
'-x+1/2,-y+1/2,-z'
'-x+1/2,y+1/2,-z'
'x+1/2,-y+1/2,z'
loop_
_atom_site_label
_atom_site_fract_x
_atom_site_fract_y
_atom_site_fract_z
_atom_site_occupancy
Ce1 0.190 0.000 0.239 1
Pa1 0.000 0.000 0.500 1
As1 0.065 0.500 0.841 1
N1 0.194 0.000 0.583 1